1.
# Tm3ZnCo3

A relaxed structure of Tm3ZnCo3 (PBE-GGA, the Alexandria database).

Cell: 4.0543 5.2848 12.7784 Å, 90.00 90.00 112.56°
Closest atoms and distances in Å follow each position.
Fractional coordinates of all 14 atoms:
1 Tm 0.2017 0.4035 0.8972  6 Co 2.78-2.89, 2 Zn 3.12
2 Tm 0.7983 0.5965 0.1028  6 Co 2.78-2.89, 2 Zn 3.12
3 Tm 0.2017 0.4035 0.6028  6 Co 2.78-2.89, 2 Zn 3.12
4 Tm 0.7983 0.5965 0.3972  6 Co 2.78-2.89, 2 Zn 3.12
5 Tm 0.4902 0.9803 0.7500  7 Co 2.83-2.92
6 Tm 0.5098 0.0197 0.2500  7 Co 2.83-2.92
7 Zn 0.5000 0.0000 0.0000  4 Co 2.54
8 Zn 0.5000 0.0000 0.5000  4 Co 2.54
9 Co 0.9102 0.8205 0.9024  1 Co 2.29, 2 Zn 2.54
10 Co 0.0898 0.1795 0.0976  1 Co 2.29, 2 Zn 2.54
11 Co 0.9102 0.8205 0.5976  1 Co 2.29, 2 Zn 2.54
12 Co 0.0898 0.1795 0.4024  1 Co 2.29, 2 Zn 2.54
13 Co 0.7871 0.5743 0.7500  2 Co 2.29
14 Co 0.2129 0.4257 0.2500  2 Co 2.29

Calculated values
Its energy relative to the elements is -319 meV per atom.

2.
# Tl3O

A relaxed structure of Tl3O (PBE-GGA, the Alexandria database).

Cell: 3.2853 3.4533 9.3624 Å, 90.00 90.00 90.00°
Closest atoms and distances in Å follow each position.
Fractional coordinates of all 4 atoms:
1 Tl 0.0000 0.5000 0.4667  4 Tl 3.29-3.45
2 Tl 0.5000 0.5000 0.1096  4 O 2.70
3 Tl 0.5000 0.0000 0.7833  2 O 2.43
4 O 0.0000 0.0000 0.9738  6 Tl 2.43-2.70

Calculated values
The formation energy from raw total energies comes out at -0.294 eV/atom. The offset from the most stable computed form is 16 meV/atom.